PmAgTeO | PBE | relaxed

Structure (CIF):
```
data_PmAgTeO
_chemical_formula_sum 'Pm4 Ag4 Te4 O4'
_symmetry_space_group_name_H-M 'P 1'
_symmetry_Int_Tables_number 1
_cell_length_a 5.853
_cell_length_b 9.925
_cell_length_c 5.853
_cell_angle_alpha 90.00
_cell_angle_beta 90.00
_cell_angle_gamma 90.00
loop_
_symmetry_equiv_pos_as_xyz
'x,y,z'
loop_
_atom_site_label
_atom_site_type_symbol
_atom_site_fract_x
_atom_site_fract_y
_atom_site_fract_z
Te1 Te 0.249 0.294 0.000
Te2 Te 0.751 0.294 0.500
Te3 Te 0.249 0.706 0.500
Te4 Te 0.751 0.706 0.000
O1 O 0.000 0.000 0.750
O2 O 0.500 0.000 0.250
O3 O 0.500 0.000 0.750
O4 O 0.000 0.000 0.250
Pm1 Pm 0.250 0.113 0.500
Pm2 Pm 0.750 0.887 0.500
Pm3 Pm 0.750 0.113 0.000
Pm4 Pm 0.250 0.887 0.000
Ag1 Ag 0.500 0.500 0.250
Ag2 Ag 0.500 0.500 0.750
Ag3 Ag 0.000 0.500 0.250
Ag4 Ag 0.000 0.500 0.750
```

The offset from the most stable computed form comes out at 1 meV/atom.

---

SiTcPd2 | PBE | relaxed

Structure (CIF):
```
data_SiTcPd2
_chemical_formula_sum 'Si1 Tc1 Pd2'
_symmetry_space_group_name_H-M 'P 1'
_symmetry_Int_Tables_number 1
_cell_length_a 4.319
_cell_length_b 4.319
_cell_length_c 4.319
_cell_angle_alpha 60.00
_cell_angle_beta 60.00
_cell_angle_gamma 60.00
loop_
_symmetry_equiv_pos_as_xyz
'x,y,z'
loop_
_atom_site_label
_atom_site_type_symbol
_atom_site_fract_x
_atom_site_fract_y
_atom_site_fract_z
Pd1 Pd 0.000 0.000 0.000
Pd2 Pd 0.750 0.750 0.750
Tc1 Tc 0.250 0.250 0.250
Si1 Si 0.500 0.500 0.500
```

For the total energy, the calculation gives -6.687 eV per atom.

---

Hf2TaGe2 | PBE | relaxed

Structure (CIF):
```
data_Hf2TaGe2
_chemical_formula_sum 'Hf4 Ta2 Ge4'
_symmetry_space_group_name_H-M 'P 1'
_symmetry_Int_Tables_number 1
_cell_length_a 6.951
_cell_length_b 6.951
_cell_length_c 3.746
_cell_angle_alpha 90.00
_cell_angle_beta 90.00
_cell_angle_gamma 90.00
loop_
_symmetry_equiv_pos_as_xyz
'x,y,z'
loop_
_atom_site_label
_atom_site_type_symbol
_atom_site_fract_x
_atom_site_fract_y
_atom_site_fract_z
Ge1 Ge 0.131 0.369 0.000
Ge2 Ge 0.631 0.131 0.000
Ge3 Ge 0.369 0.869 0.000
Ge4 Ge 0.869 0.631 0.000
Ta1 Ta 0.500 0.500 0.000
Ta2 Ta 0.000 0.000 0.000
Hf1 Hf 0.673 0.827 0.500
Hf2 Hf 0.327 0.173 0.500
Hf3 Hf 0.173 0.673 0.500
Hf4 Hf 0.827 0.327 0.500
```

The offset from the most stable computed form comes out at 0 meV/atom.